Entry 1:
The following is a DFT calculation (PBE) of CePr3Y7 after structural relaxation.

abc: 8.773 7.133 7.133
angles: 120.00 90.00 90.00
Site moments in Bohr magnetons follow the coordinates.
Element x y z (fractional)
Pr 0.780 0.004 0.502  0.00
Pr 0.780 0.498 0.996  0.00
Pr 0.780 0.498 0.502  0.00
Y 0.447 0.833 0.167  0.02
Y 0.447 0.334 0.167  0.02
Y 0.122 0.169 0.831  0.01
Y 0.122 0.169 0.337  0.01
Y 0.122 0.667 0.333  0.00
Y 0.122 0.663 0.831  0.01
Y 0.447 0.833 0.666  0.02
Ce 0.447 0.333 0.667  0.67

Summary:
**Energy relative to the elements**: 4.45 kcal/mol of atoms
**Space group**: P3m1 (156)


Entry 2:
The following is a DFT calculation (PBE) of Tl2I2Cl7 after structural relaxation.

abc: 8.040 7.591 15.058
angles: 90.00 90.00 91.08
Element x y z (fractional)
Cl 0.368 0.139 0.302
Cl 0.212 0.702 0.805
Cl 0.000 0.000 0.500
Cl 0.368 0.639 0.198
Cl 0.212 0.202 0.695
Cl 0.306 0.140 0.024
Cl 0.788 0.298 0.195
Cl 0.000 0.500 0.000
Cl 0.632 0.861 0.698
Cl 0.632 0.361 0.802
Cl 0.694 0.860 0.976
Cl 0.788 0.798 0.305
Cl 0.694 0.360 0.524
Cl 0.306 0.640 0.476
Tl 0.532 0.963 0.167
Tl 0.468 0.037 0.833
Tl 0.532 0.463 0.333
Tl 0.468 0.537 0.667
I 0.951 0.766 0.892
I 0.049 0.734 0.392
I 0.951 0.266 0.608
I 0.049 0.234 0.108

Summary:
**Uncorrected formation energy**: -413 meV per atom
**Space group**: P2_1/c (14)


Entry 3:
The following is a DFT calculation (PBE) of RbFeN2 after structural relaxation.

abc: 4.157 4.157 4.157
angles: 60.00 60.00 60.00
Site moments in Bohr magnetons follow the coordinates.
Element x y z (fractional)
Rb 0.500 0.500 0.500  0.03
Fe 0.000 0.000 0.000  -0.07
N 0.750 0.750 0.750  0.30
N 0.250 0.250 0.250  0.30

Summary:
**Uncorrected formation energy**: 2287 meV per atom
**Space group**: Fm-3m (225)


Entry 4:
The following is a DFT calculation (PBE) of BaHF2 after structural relaxation.

abc: 4.476 4.476 4.476
angles: 60.00 60.00 60.00
Site moments in Bohr magnetons follow the coordinates.
Element x y z (fractional)
H 0.000 0.000 0.000  0.37
F 0.750 0.750 0.750  0.05
F 0.250 0.250 0.250  0.05
Ba 0.500 0.500 0.500  0.01

Summary:
**Energy**: -18.3 eV for the cell shown
**Space group**: Fm-3m (225)


What are the total magnetic moment values for these records? In order: 1.0, 0.0, 0.8, 1.0 μB/cell.